--- P ---
## Hg2OsF6 (PBE)

Data for a geometry-optimized Hg2OsF6 structure.

The structure in extended XYZ format:
```
9
Lattice="5.2107 0.0000 0.0000 -2.6054 4.5126 0.0000 0.0000 0.0000 6.9137" Properties=species:S:1:pos:R:3 pbc="T T T"
Hg 0.0000 3.0084 0.0000
Hg 2.6054 1.5042 0.0000
Os 0.0000 0.0000 3.4569
F -0.7717 1.3367 4.5889
F -1.8336 3.1759 2.3248
F 1.5435 0.0000 4.5889
F 0.7717 1.3367 2.3248
F 3.6672 0.0000 2.3248
F 1.8336 3.1759 4.5889
```

Properties
Total moment (Bohr magnetons per cell): 2.94
ρ (g/cm3): 7.2
DOS at the Fermi energy (states/eV/atom): 0.14
Symmetry: P-31m, No. 162

=====

--- Q ---
## Hg2OsF6 (PBE)

Data for a geometry-optimized Hg2OsF6 structure.

The structure in extended XYZ format:
```
9
Lattice="5.1874 -2.7326 0.0000 5.1874 2.7326 0.0000 -0.0267 0.0000 5.8602" Properties=species:S:1:pos:R:3 pbc="T T T"
Hg 2.2844 0.0000 2.9150
Hg 8.0638 0.0000 2.9452
Os 5.1874 0.0000 0.0000
F 5.1643 1.3349 4.4833
F 5.1838 1.3349 1.3769
F 3.2434 0.0000 5.8529
F 7.1048 0.0000 0.0073
F 5.1643 -1.3349 4.4833
F 5.1838 -1.3349 1.3769
```

Properties
Total moment (Bohr magnetons per cell): 2.87
ρ (g/cm3): 7.1
DOS at the Fermi energy (states/eV/atom): 0.16
Symmetry: C2/m, No. 12

=====

The least stable of them is P.

=====

--- P ---
## HgOs3F (PBE)

Data for a geometry-optimized HgOs3F structure.

The structure in extended XYZ format:
```
5
Lattice="5.0806 0.0000 0.0000 0.0000 5.0806 0.0000 0.0000 0.0000 5.0806" Properties=species:S:1:pos:R:3 pbc="T T T"
Hg 0.0000 0.0000 0.0000
Os 0.0000 0.0000 2.5403
Os 0.0000 2.5403 0.0000
Os 2.5403 0.0000 0.0000
F 2.5403 2.5403 2.5403
```

Properties
Total moment (Bohr magnetons per cell): 8.59
ρ (g/cm3): 10.0
DOS at the Fermi energy (states/eV/atom): 0.87
Symmetry: Pm-3m, No. 221

=====

--- Q ---
## HgOs3F (PBE)

Data for a geometry-optimized HgOs3F structure.

The structure in extended XYZ format:
```
5
Lattice="4.2908 0.0000 0.0000 0.0000 4.2908 0.0000 0.0000 0.0000 4.2908" Properties=species:S:1:pos:R:3 pbc="T T T"
Hg 0.0000 0.0000 0.0000
Os 0.0000 2.1454 2.1454
Os 2.1454 0.0000 2.1454
Os 2.1454 2.1454 0.0000
F 2.1454 2.1454 2.1454
```

Properties
Total moment (Bohr magnetons per cell): 1.42
ρ (g/cm3): 16.6
DOS at the Fermi energy (states/eV/atom): 1.63
Symmetry: Pm-3m, No. 221

=====

The least stable of them is P.

=====

--- P ---
## Hg2PF6 (PBE)

Data for a geometry-optimized Hg2PF6 structure.

The structure in extended XYZ format:
```
18
Lattice="5.9689 0.0000 0.0000 0.0000 5.5247 0.0000 -0.0542 0.0000 9.5714" Properties=species:S:1:pos:R:3 pbc="T T T"
Hg 5.9526 1.2859 2.3734
Hg 5.9254 1.4765 7.1591
Hg -0.0108 4.0482 2.4123
Hg -0.0379 4.2389 7.1979
P 2.9573 0.0000 4.7857
P 2.9844 2.7624 0.0000
F 1.7903 1.1607 4.7807
F 1.7632 1.6016 9.5664
F 1.8199 3.9255 0.0228
F 1.7928 4.3616 4.8085
F 2.9178 2.7822 7.9390
F 2.9450 5.5049 3.1534
F 2.9697 0.0198 6.4180
F 2.9968 2.7425 1.6323
F 4.1218 1.1631 4.7629
F 4.0947 1.5992 9.5486
F 4.1515 3.9231 0.0050
F 4.1244 4.3640 4.7907
```

Properties
Total moment (Bohr magnetons per cell): 0.00
ρ (g/cm3): 5.7
DOS at the Fermi energy (states/eV/atom): 0.32
Symmetry: P2_1/c, No. 14

=====

--- Q ---
## Hg2PF6 (PBE)

Data for a geometry-optimized Hg2PF6 structure.

The structure in extended XYZ format:
```
9
Lattice="5.1048 0.0000 0.0000 -2.5524 4.4209 0.0000 0.0000 0.0000 6.6016" Properties=species:S:1:pos:R:3 pbc="T T T"
Hg 0.0000 2.9472 0.0000
Hg 2.5524 1.4736 0.0000
P 0.0000 0.0000 3.3008
F -0.6683 1.1575 4.2505
F -1.8841 3.2633 2.3511
F 1.3366 0.0000 4.2505
F 0.6683 1.1575 2.3511
F 3.7682 0.0000 2.3511
F 1.8841 3.2633 4.2505
```

Properties
Total moment (Bohr magnetons per cell): 0.00
ρ (g/cm3): 6.1
DOS at the Fermi energy (states/eV/atom): 0.04
Symmetry: P-31m, No. 162

=====

The least stable of them is Q.

=====

--- P ---
## Hg2PF5 (PBE)

Data for a geometry-optimized Hg2PF5 structure.

The structure in extended XYZ format:
```
8
Lattice="-2.6686 2.6686 7.1320 2.6686 -2.6686 7.1320 2.6686 2.6686 -7.1320" Properties=species:S:1:pos:R:3 pbc="T T T"
Hg 2.6686 0.0000 0.0000
Hg 0.0000 2.6686 0.0000
P 0.0000 0.0000 3.4347
F 1.5679 1.5679 -4.0309
F 1.1007 -1.1007 3.1011
F 0.0000 0.0000 4.9811
F -1.1007 1.1007 3.1011
F 1.1007 1.1007 3.1011
```

Properties
Total moment (Bohr magnetons per cell): 0.00
ρ (g/cm3): 4.3
DOS at the Fermi energy (states/eV/atom): 0.00
Symmetry: I4mm, No. 107

=====

--- Q ---
## Hg2PF5 (PBE)

Data for a geometry-optimized Hg2PF5 structure.

The structure in extended XYZ format:
```
8
Lattice="5.4610 0.0000 0.0000 2.6542 5.2836 0.0000 0.5939 0.1511 7.0925" Properties=species:S:1:pos:R:3 pbc="T T T"
Hg 0.0000 0.0000 0.0000
Hg 2.7358 1.8786 0.3497
P 6.3893 3.6827 3.7492
F 2.4930 3.7069 3.6596
F 6.3659 5.2860 3.7308
F 5.6928 3.6861 5.1512
F 5.5192 3.6551 2.4479
F 6.4170 2.0793 3.7648
```

Properties
Total moment (Bohr magnetons per cell): 0.00
ρ (g/cm3): 4.3
DOS at the Fermi energy (states/eV/atom): 0.00
Symmetry: P1, No. 1

=====

The least stable of them is P.

=====

--- P ---
## HgPF6 (PBE)

Data for a geometry-optimized HgPF6 structure.

The structure in extended XYZ format:
```
8
Lattice="3.1624 -3.7719 0.0000 3.1624 3.7719 0.0000 -1.0277 0.0000 4.8604" Properties=species:S:1:pos:R:3 pbc="T T T"
Hg 0.0000 0.0000 0.0000
P 2.6485 0.0000 2.4302
F 1.0405 0.0000 2.7684
F 2.3968 1.1559 1.2929
F 2.9003 1.1559 3.5675
F 2.3968 -1.1559 1.2929
F 2.9003 -1.1559 3.5675
F 4.2566 0.0000 2.0920
```

Properties
Total moment (Bohr magnetons per cell): 0.83
ρ (g/cm3): 4.9
DOS at the Fermi energy (states/eV/atom): 0.28
Symmetry: C2/m, No. 12

=====

--- Q ---
## HgPF6 (PBE)

Data for a geometry-optimized HgPF6 structure.

The structure in extended XYZ format:
```
16
Lattice="4.8722 -2.6012 0.0000 4.8722 2.6012 0.0000 -2.3826 0.0000 9.4878" Properties=species:S:1:pos:R:3 pbc="T T T"
Hg 3.0852 1.6619 7.1159
Hg 4.2765 -1.6619 2.3720
P 2.4361 1.3006 0.0000
P 1.2448 -1.3006 4.7439
F 0.3208 0.0213 5.0349
F 1.5121 -0.0213 0.2910
F 0.7473 0.5283 8.2113
F 3.6046 0.7173 0.9956
F 1.9386 -0.5283 3.4674
F 4.9484 0.7173 3.7483
F 2.4133 -0.7173 5.7395
F 5.4231 0.5283 6.0204
F 3.7571 -0.7173 8.4922
F 6.6144 -0.5283 1.2765
F 5.8497 0.0213 9.1969
F 7.0410 -0.0213 4.4529
```

Properties
Total moment (Bohr magnetons per cell): 1.70
ρ (g/cm3): 4.8
DOS at the Fermi energy (states/eV/atom): 0.30
Symmetry: C2/c, No. 15

=====

The least stable of them is P.

=====

--- P ---
## HgP3F (PBE)

Data for a geometry-optimized HgP3F structure.

The structure in extended XYZ format:
```
5
Lattice="5.0299 0.0000 0.0000 0.0000 5.0299 0.0000 0.0000 0.0000 5.0299" Properties=species:S:1:pos:R:3 pbc="T T T"
Hg 0.0000 0.0000 0.0000
P 0.0000 0.0000 2.5150
P 0.0000 2.5150 0.0000
P 2.5150 0.0000 0.0000
F 2.5150 2.5150 2.5150
```

Properties
Total moment (Bohr magnetons per cell): 0.00
ρ (g/cm3): 4.1
DOS at the Fermi energy (states/eV/atom): 1.05
Symmetry: Pm-3m, No. 221

=====

--- Q ---
## HgP3F (PBE)

Data for a geometry-optimized HgP3F structure.

The structure in extended XYZ format:
```
5
Lattice="4.4814 0.0000 0.0000 0.0000 4.4814 0.0000 0.0000 0.0000 4.4814" Properties=species:S:1:pos:R:3 pbc="T T T"
Hg 0.0000 0.0000 0.0000
P 0.0000 2.2407 2.2407
P 2.2407 0.0000 2.2407
P 2.2407 2.2407 0.0000
F 2.2407 2.2407 2.2407
```

Properties
Total moment (Bohr magnetons per cell): 0.00
ρ (g/cm3): 5.8
DOS at the Fermi energy (states/eV/atom): 0.76
Symmetry: Pm-3m, No. 221

=====

The least stable of them is P.

=====

--- P ---
## HgP2SF (PBE)

Data for a geometry-optimized HgP2SF structure.

The structure in extended XYZ format:
```
5
Lattice="4.0364 0.0000 0.0000 0.0000 4.0364 0.0000 0.0000 0.0000 6.2576" Properties=species:S:1:pos:R:3 pbc="T T T"
Hg 0.0000 0.0000 0.0000
P 0.0000 2.0182 3.1288
P 2.0182 0.0000 3.1288
S 2.0182 2.0182 0.0000
F 2.0182 2.0182 3.1288
```

Properties
Total moment (Bohr magnetons per cell): 0.00
ρ (g/cm3): 5.1
DOS at the Fermi energy (states/eV/atom): 0.90
Symmetry: P4/mmm, No. 123

=====

--- Q ---
## HgP2SF (PBE)

Data for a geometry-optimized HgP2SF structure.

The structure in extended XYZ format:
```
5
Lattice="5.1488 0.0000 0.0000 0.0000 5.1488 0.0000 0.0000 0.0000 4.9136" Properties=species:S:1:pos:R:3 pbc="T T T"
Hg 0.0000 0.0000 0.0000
P 0.0000 2.5744 0.0000
P 2.5744 0.0000 0.0000
S 0.0000 0.0000 2.4568
F 2.5744 2.5744 2.4568
```

Properties
Total moment (Bohr magnetons per cell): 2.34
ρ (g/cm3): 4.0
DOS at the Fermi energy (states/eV/atom): 0.85
Symmetry: P4/mmm, No. 123

=====

The least stable of them is Q.

=====

--- P ---
## PaHg2F8 (PBE)

Data for a geometry-optimized PaHg2F8 structure.

The structure in extended XYZ format:
```
11
Lattice="3.5221 -4.9766 0.0000 3.5221 4.9766 0.0000 0.0000 0.0000 4.3076" Properties=species:S:1:pos:R:3 pbc="T T T"
Pa 0.0000 0.0000 0.0000
Hg 3.5221 1.4371 2.1538
Hg 3.5221 -1.4371 2.1538
F 1.1759 1.2220 2.1538
F 3.5221 2.8355 0.0000
F 1.1759 -1.2220 2.1538
F 2.0932 0.0000 0.0000
F 4.9510 0.0000 0.0000
F 5.8682 1.2220 2.1538
F 3.5221 -2.8355 0.0000
F 5.8682 -1.2220 2.1538
```

Properties
Total moment (Bohr magnetons per cell): 0.00
ρ (g/cm3): 8.6
DOS at the Fermi energy (states/eV/atom): 0.22
Symmetry: Cmmm, No. 65

=====

--- Q ---
## PaHg2F8 (PBE)

Data for a geometry-optimized PaHg2F8 structure.

The structure in extended XYZ format:
```
11
Lattice="6.0038 0.0000 0.0000 2.0331 5.6736 0.0000 0.1927 2.1350 5.6379" Properties=species:S:1:pos:R:3 pbc="T T T"
Pa 0.0000 0.0000 0.0000
Hg 3.1599 2.3731 2.3891
Hg 5.0698 5.4355 3.2488
F 1.4543 2.9409 4.0643
F 1.4223 1.3162 0.9814
F 3.3752 6.1252 4.8833
F 3.3169 4.5388 1.7528
F 4.9128 3.2698 3.8851
F 4.8544 1.6834 0.7546
F 6.8073 6.4924 4.6565
F 6.7753 4.8677 1.5736
```

Properties
Total moment (Bohr magnetons per cell): 0.00
ρ (g/cm3): 6.8
DOS at the Fermi energy (states/eV/atom): 0.39
Symmetry: P-1, No. 2

=====

The least stable of them is P.